The following is a PBE-GGA calculation of a relaxed CdPtSe2 crystal, from Alexandria via LeMat-Bulk.

Summary:
- Space-group type: P4mm, No. 99
- ρ: 8.2 Mg/m³
- Uncorrected formation energy: -0.036 eV per atom
- Crystal system: tetragonal

Lattice parameters (Å, degrees): 3.499 3.499 7.656 90.00 90.00 90.00
Fractional positions:
Cd  0.000  0.000  0.501
Pt  0.500  0.500  0.784
Se  0.000  0.000  0.882
Se  0.500  0.500  0.333